# InSi2P (PBE-GGA, relaxed)
data_InSi2P
_space_group_name_H-M_alt 'P 1 m 1'
_space_group_IT_number 6
_space_group_name_Hall 'P -2y'
_cell_length_a 3.908
_cell_length_b 4.281
_cell_length_c 4.741
_cell_angle_alpha 90.00
_cell_angle_beta 99.42
_cell_angle_gamma 90.00
loop_
_atom_site_label
_atom_site_type_symbol
_atom_site_fract_x
_atom_site_fract_y
_atom_site_fract_z
In1 In 0.000 0.000 0.000
Si1 Si 0.228 0.500 0.638
Si2 Si 0.498 0.000 0.502
P1 P 0.710 0.500 0.321
# **E_tot**: -4.44 eV per atom
# **Total magnetic moment**: 0.0 μB per formula unit
# **Raw formation energy**: 0.312 eV per atom